Material: Na2NdGaO4
Method: DFT, PBE
State: relaxed

Its uncorrected formation energy is -2.06 eV/atom.

a b c (Å): 5.685 3.375 5.902
angles (deg): 90.00 109.32 90.00
Sites, in units of the cell vectors:
Na: 0.000 0.000 0.000
Na: 0.500 0.500 0.000
Nd: 0.000 0.500 0.500
Ga: 0.500 0.000 0.500
O: 0.276 0.000 0.708
O: 0.285 0.500 0.288
O: 0.715 0.500 0.712
O: 0.724 0.000 0.292

---

Material: NaNdGa2Pt2
Method: DFT, PBE
State: relaxed

Its calculated formation energy is -0.73 eV/atom.

a b c (Å): 4.469 4.469 6.858
angles (deg): 90.00 90.00 120.00
Sites, in units of the cell vectors:
Na: 0.000 0.000 0.000
Nd: 0.000 0.000 0.500
Ga: 0.333 0.667 0.805
Ga: 0.667 0.333 0.195
Pt: 0.333 0.667 0.227
Pt: 0.667 0.333 0.773

---

Material: NaNd2Ga3Pt4
Method: DFT, PBE
State: relaxed

Its calculated formation energy is -0.83 eV/atom.

a b c (Å): 4.125 4.125 11.724
angles (deg): 90.00 90.00 90.00
Sites, in units of the cell vectors:
Na: 0.000 0.000 0.000
Nd: 0.000 0.500 0.741
Nd: 0.500 0.000 0.259
Ga: 0.000 0.500 0.373
Ga: 0.500 0.000 0.627
Ga: 0.500 0.500 0.000
Pt: 0.000 0.000 0.500
Pt: 0.000 0.500 0.159
Pt: 0.500 0.000 0.841
Pt: 0.500 0.500 0.500

---

Material: Na4Nd3GaS8
Method: DFT, PBE
State: relaxed

Its uncorrected formation energy is -1.49 eV/atom.

a b c (Å): 8.074 8.074 8.184
angles (deg): 119.70 119.70 59.61
Sites, in units of the cell vectors:
Na: 0.000 0.000 0.000
Na: 0.000 0.500 0.000
Na: 0.500 0.000 0.000
Na: 0.500 0.500 0.000
Nd: 0.000 0.000 0.500
Nd: 0.000 0.500 0.500
Nd: 0.500 0.000 0.500
Ga: 0.500 0.500 0.500
S: 0.244 0.244 0.736
S: 0.255 0.255 0.262
S: 0.274 0.722 0.718
S: 0.278 0.726 0.282
S: 0.722 0.274 0.718
S: 0.726 0.278 0.282
S: 0.745 0.745 0.738
S: 0.756 0.756 0.264

---

Material: NaNdGa4S8
Method: DFT, PBE
State: relaxed

Its uncorrected formation energy is -1.03 eV/atom.

a b c (Å): 14.441 11.925 11.901
angles (deg): 74.62 52.77 52.61
Sites, in units of the cell vectors:
Na: 0.121 0.121 0.629
Na: 0.371 0.371 0.879
Na: 0.629 0.629 0.121
Na: 0.879 0.879 0.371
Nd: 0.125 0.125 0.125
Nd: 0.375 0.375 0.375
Nd: 0.625 0.625 0.625
Nd: 0.875 0.875 0.875
Ga: 0.033 0.469 0.858
Ga: 0.110 0.384 0.367
Ga: 0.140 0.858 0.469
Ga: 0.142 0.860 0.967
Ga: 0.361 0.633 0.616
Ga: 0.367 0.639 0.110
Ga: 0.384 0.110 0.639
Ga: 0.469 0.033 0.140
Ga: 0.531 0.967 0.860
Ga: 0.616 0.890 0.361
Ga: 0.633 0.361 0.890
Ga: 0.639 0.367 0.384
Ga: 0.858 0.140 0.033
Ga: 0.860 0.142 0.531
Ga: 0.890 0.616 0.633
Ga: 0.967 0.531 0.142
S: 0.077 0.592 0.918
S: 0.082 0.087 0.923
S: 0.087 0.082 0.408
S: 0.093 0.576 0.413
S: 0.150 0.342 0.162
S: 0.153 0.838 0.658
S: 0.162 0.847 0.150
S: 0.185 0.315 0.652
S: 0.315 0.185 0.347
S: 0.342 0.150 0.847
S: 0.347 0.652 0.315
S: 0.348 0.653 0.815
S: 0.408 0.923 0.087
S: 0.413 0.418 0.093
S: 0.418 0.413 0.576
S: 0.424 0.907 0.582
S: 0.576 0.093 0.418
S: 0.582 0.587 0.424
S: 0.587 0.582 0.907
S: 0.592 0.077 0.913
S: 0.652 0.347 0.185
S: 0.653 0.348 0.685
S: 0.658 0.850 0.153
S: 0.685 0.815 0.653
S: 0.815 0.685 0.348
S: 0.838 0.153 0.850
S: 0.847 0.162 0.342
S: 0.850 0.658 0.838
S: 0.907 0.424 0.587
S: 0.913 0.918 0.592
S: 0.918 0.913 0.077
S: 0.923 0.408 0.082

---

Material: NaNdGa4Se8
Method: DFT, PBE
State: relaxed

Its uncorrected formation energy is -0.92 eV/atom.

a b c (Å): 15.135 12.494 12.472
angles (deg): 74.63 52.75 52.62
Sites, in units of the cell vectors:
Na: 0.122 0.122 0.628
Na: 0.372 0.372 0.878
Na: 0.628 0.628 0.122
Na: 0.878 0.878 0.372
Nd: 0.125 0.125 0.125
Nd: 0.375 0.375 0.375
Nd: 0.625 0.625 0.625
Nd: 0.875 0.875 0.875
Ga: 0.031 0.471 0.859
Ga: 0.111 0.384 0.368
Ga: 0.138 0.859 0.471
Ga: 0.141 0.862 0.969
Ga: 0.363 0.632 0.616
Ga: 0.368 0.637 0.111
Ga: 0.384 0.111 0.637
Ga: 0.471 0.031 0.138
Ga: 0.529 0.969 0.862
Ga: 0.616 0.889 0.363
Ga: 0.632 0.363 0.889
Ga: 0.637 0.368 0.384
Ga: 0.859 0.138 0.031
Ga: 0.862 0.141 0.529
Ga: 0.889 0.616 0.632
Ga: 0.969 0.529 0.141
Se: 0.080 0.594 0.915
Se: 0.085 0.090 0.920
Se: 0.090 0.085 0.406
Se: 0.095 0.578 0.410
Se: 0.151 0.843 0.663
Se: 0.157 0.337 0.157
Se: 0.157 0.849 0.157
Se: 0.182 0.317 0.650
Se: 0.317 0.182 0.351
Se: 0.337 0.157 0.849
Se: 0.350 0.649 0.818
Se: 0.351 0.650 0.317
Se: 0.406 0.920 0.090
Se: 0.410 0.417 0.095
Se: 0.417 0.410 0.578
Se: 0.422 0.905 0.583
Se: 0.578 0.095 0.417
Se: 0.583 0.590 0.422
Se: 0.590 0.583 0.905
Se: 0.594 0.080 0.910
Se: 0.649 0.350 0.683
Se: 0.650 0.351 0.182
Se: 0.663 0.843 0.151
Se: 0.683 0.818 0.649
Se: 0.818 0.683 0.350
Se: 0.843 0.151 0.843
Se: 0.843 0.663 0.843
Se: 0.849 0.157 0.337
Se: 0.905 0.422 0.590
Se: 0.910 0.915 0.594
Se: 0.915 0.910 0.080
Se: 0.920 0.406 0.085

---

Material: Na2NdGaSn2
Method: DFT, PBE
State: relaxed

Its calculated formation energy is -0.39 eV/atom.

a b c (Å): 4.585 9.306 7.777
angles (deg): 90.00 90.00 90.00
Sites, in units of the cell vectors:
Na: 0.000 0.084 0.000
Na: 0.000 0.916 0.500
Na: 0.500 0.149 0.316
Na: 0.500 0.851 0.816
Nd: 0.500 0.455 0.976
Nd: 0.500 0.545 0.476
Ga: 0.000 0.338 0.636
Ga: 0.000 0.662 0.136
Sn: 0.000 0.370 0.257
Sn: 0.000 0.630 0.757
Sn: 0.500 0.181 0.716
Sn: 0.500 0.819 0.216

---

Material: NaNdYGa
Method: DFT, PBE
State: relaxed

Its calculated formation energy is -0.15 eV/atom.

a b c (Å): 5.317 5.317 5.317
angles (deg): 60.00 60.00 60.00
Sites, in units of the cell vectors:
Na: 0.000 0.000 0.000
Nd: 0.250 0.250 0.250
Y: 0.750 0.750 0.750
Ga: 0.500 0.500 0.500